Material: CsAlHg2S
Method: DFT, PBE
State: optimized geometry

Results
Calculated density, g cm⁻³: 6.53
Formation energy (no corrections), eV/atom: -0.357
Volume, A^3/atom: 30.18

Cell lengths 5.4853, 5.4853, 5.0146 Å; angles 90.00, 90.00, 90.00 degrees
Closest atoms and distances in Å follow each position.
Fractional positions:
Cs1 0.0000 0.0000 0.0000  8 Hg 3.72, 4 S 3.88
Al1 0.5000 0.5000 0.5000  2 S 2.51, 4 Hg 2.74
Hg1 0.0000 0.5000 0.5000  2 Al 2.74
Hg2 0.5000 0.0000 0.5000  2 Al 2.74
S1 0.5000 0.5000 0.0000  2 Al 2.51

***

Material: DyLuAgSn
Method: DFT, PBE
State: optimized geometry

Results
Calculated density, g cm⁻³: 9.52
Energy of formation from the pure elements, eV per atom: -0.4775
Volume, A^3/atom: 24.59

Cell lengths 5.1816, 5.1816, 5.1816 Å; angles 60.00, 60.00, 60.00 degrees
Closest atoms and distances in Å follow each position.
Fractional positions:
Dy1 0.0000 0.0000 0.0000  4 Sn 3.17, 4 Ag 3.17
Lu1 0.5000 0.5000 0.5000  4 Sn 3.17, 4 Ag 3.17
Ag1 0.7500 0.7500 0.7500  4 Dy 3.17, 4 Lu 3.17
Sn1 0.2500 0.2500 0.2500  4 Dy 3.17, 4 Lu 3.17

***

Material: Pr7Cd2Ni2
Method: DFT, PBE
State: optimized geometry

Results
Calculated density, g cm⁻³: 6.47
Energy of formation from the pure elements, eV per atom: -0.1104
Volume, A^3/atom: 31.00

Cell lengths 7.0493, 7.0493, 7.3119 Å; angles 90.00, 90.00, 110.18 degrees
Closest atoms and distances in Å follow each position.
Fractional positions:
Pr1 0.0000 0.0000 0.0000  2 Ni 3.43
Pr2 0.0000 0.5000 0.2494  2 Ni 2.77
Pr3 0.0000 0.5000 0.7506  2 Ni 2.77
Pr4 0.5000 0.0000 0.2494  2 Ni 2.77
Pr5 0.5000 0.0000 0.7506  2 Ni 2.77
Pr6 0.5000 0.5000 0.2371  2 Ni 2.92, 2 Cd 3.27
Pr7 0.5000 0.5000 0.7629  2 Ni 2.92, 2 Cd 3.27
Cd1 0.1720 0.1720 0.5000  1 Cd 2.78
Cd2 0.8280 0.8280 0.5000  1 Cd 2.78
Ni1 0.2967 0.7033 0.0000  6 Pr 2.77-2.92
Ni2 0.7033 0.2967 0.0000  6 Pr 2.77-2.92